! HfZr2Pd2 | Alexandria via LeMat-Bulk | PBE | optimized geometry; values from VASP
&SYSTEM
  ibrav = 0, nat = 10, ntyp = 3
/
ATOMIC_SPECIES
Hf 178.49 Hf.upf
Zr 91.22 Zr.upf
Pd 106.42 Pd.upf
ATOMIC_POSITIONS angstrom
Hf 0.000 0.000 0.000
Hf 3.387 -1.731 3.885
Zr 5.282 0.043 1.834
Zr 6.110 -1.031 5.627
Zr 2.284 -0.318 6.665
Zr 1.456 0.756 2.872
Pd 6.244 -2.245 3.028
Pd 4.088 -2.553 6.712
Pd 0.530 -1.217 4.742
Pd 2.686 -0.910 1.057
CELL_PARAMETERS angstrom
-0.669 -1.551 7.501
7.443 -1.911 0.268
0.792 3.187 0.730
! * formation energy: -0.487 eV per atom
! * density of states at the Fermi level: 1.0670 states/eV per atom
! * calculated volume: 198.9 Å³/cell
! * total moment: 0.0 μB/cell
! * relative energy among the computed polymorphs: 0 kJ/mol of formula units
! * ρ: 9.58 Mg/m³